Record 1
Crystalline Ca2Sn2Br at its relaxed geometry. Source: Alexandria, functional PBE-GGA.

Structure (POSCAR):
```
Ca2Sn2Br
1.0
-0.8990 -1.5000 -3.9158
1.7489 -3.7740 1.0442
-7.3374 -5.4437 1.4214
Sn Br Ca
2 1 2
Direct
0.2500 0.7500 0.5000
0.7500 0.2500 0.5000
0.0000 0.0000 0.0000
0.3878 0.3878 0.2244
0.6122 0.6122 0.7756
```

The calculation puts the energy relative to the elements, uncorrected at -0.687 eV per atom. Its polymorph energy (0 for the lowest one) is 0.119 eV/atom. Its size of the total moment is 0.00 μB/cell. The symmetry is I4/mmm, No. 139. The calculation puts the density of states at the Fermi level at 0.4728 states/eV per atom. The calculation puts the raw total energy at -3.4232 eV per atom.

Record 2
Crystalline PuAlIr at its relaxed geometry. Source: Alexandria, functional PBE-GGA.

Structure (POSCAR):
```
PuAlIr
1.0
-2.4405 -3.0283 -1.4573
2.8146 0.7707 -6.3151
8.2915 -8.0849 2.9148
Ir Pu Al
6 6 6
Direct
0.7500 0.2296 0.0925
0.2500 0.7349 0.2465
0.2500 0.2324 0.4209
0.7500 0.7676 0.5791
0.7500 0.2651 0.7535
0.2500 0.7704 0.9075
0.2500 0.3505 0.9196
0.7500 0.0262 0.2896
0.7500 0.6495 0.0804
0.7500 0.5308 0.3755
0.2500 0.4692 0.6245
0.2500 0.9738 0.7104
0.7500 0.1403 0.5408
0.7500 0.0045 0.9173
0.2500 0.9955 0.0827
0.7500 0.6430 0.7964
0.2500 0.3570 0.2036
0.2500 0.8597 0.4592
```

Its size of the total moment is 30.70 μB/cell. The symmetry is P2_1/m, No. 11. The calculation puts the density of states at the Fermi level at 2.7781 states/eV per atom. The calculation puts the raw total energy at -9.6832 eV per atom. As for the energy relative to the elements: -2.11 eV per formula unit.

Record 3
Crystalline Sr2NiSb3Pd4 at its relaxed geometry. Source: Alexandria, functional PBE-GGA.

Structure (POSCAR):
```
Sr2NiSb3Pd4
1.0
4.5581 0.0000 0.0000
0.0000 4.5581 0.0000
0.0000 0.0000 10.7757
Sb Pd Ni Sr
3 4 1 2
Direct
0.0000 0.0000 0.5000
0.0000 0.5000 0.1327
0.5000 0.0000 0.8673
0.5000 0.5000 0.0000
0.0000 0.5000 0.3775
0.0000 0.0000 0.0000
0.5000 0.0000 0.6225
0.5000 0.5000 0.5000
0.0000 0.5000 0.7422
0.5000 0.0000 0.2578
```

The calculation puts the energy relative to the elements, uncorrected at -0.646 eV per atom. Its size of the total moment is 0.26 μB/cell. The symmetry is P-4m2, No. 115. The calculation puts the density of states at the Fermi level at 0.8767 states/eV per atom. The calculation puts the raw total energy at -4.8748 eV per atom.

Record 4
Crystalline LiAg3F at its relaxed geometry. Source: Alexandria, functional PBE-GGA.

Structure (POSCAR):
```
LiAg3F
1.0
4.6744 0.0000 0.0000
0.0000 4.6744 0.0000
0.0000 0.0000 4.6744
F Ag Li
1 3 1
Direct
0.0000 0.0000 0.0000
0.5000 0.0000 0.0000
0.0000 0.0000 0.5000
0.0000 0.5000 0.0000
0.5000 0.5000 0.5000
```

The calculation puts the energy relative to the elements, uncorrected at -0.093 eV per atom. Its polymorph energy (0 for the lowest one) is 0.000 eV/atom. Its size of the total moment is 0.00 μB/cell. The symmetry is Pm-3m, No. 221. The calculation puts the density of states at the Fermi level at 0.4353 states/eV per atom. The calculation puts the raw total energy at -2.5609 eV per atom.

Number 4 is which compound? LiAg3F